# BaHg2Os

A relaxed structure of BaHg2Os (PBE, Alexandria via LeMat-Bulk). Values from VASP.

Geometry as Quantum ESPRESSO input:
```
&SYSTEM
  ibrav = 0, nat = 4, ntyp = 3
/
ATOMIC_SPECIES
Os 190.23 Os.upf
Hg 200.59 Hg.upf
Ba 137.33 Ba.upf
ATOMIC_POSITIONS crystal
Os 0.000 0.000 0.416
Hg 0.000 0.000 0.051
Hg 0.500 0.500 0.309
Ba 0.500 0.500 0.723
CELL_PARAMETERS angstrom
-3.079 -1.929 -0.850
2.106 -2.931 -0.976
-0.335 -2.644 7.214
```

Results
As for the energy above the most stable polymorph in this dataset: 11.2 kJ/mol of atoms. The value obtained for the calculated density is 11.3 Mg/m³. Its space group is P4mm, No. 99.

# SmInAgAu

A relaxed structure of SmInAgAu (PBE, Alexandria via LeMat-Bulk). Values from VASP.

Geometry as Quantum ESPRESSO input:
```
&SYSTEM
  ibrav = 0, nat = 4, ntyp = 4
/
ATOMIC_SPECIES
Au 196.97 Au.upf
Ag 107.87 Ag.upf
Sm 150.36 Sm.upf
In 114.82 In.upf
ATOMIC_POSITIONS crystal
Au 0.750 0.750 0.750
Ag 0.250 0.250 0.250
Sm 0.500 0.500 0.500
In 0.000 0.000 0.000
CELL_PARAMETERS angstrom
-4.639 -0.590 -1.778
-3.571 -1.935 2.921
-3.710 2.908 1.676
```

Results
The value obtained for the uncorrected energy is -15.75 eV per formula unit. The value obtained for the calculated density is 10.7 Mg/m³. Its space group is F-43m, No. 216.

# Nd3Sm7Er

A relaxed structure of Nd3Sm7Er (PBE, Alexandria via LeMat-Bulk). Values from VASP.

Geometry as Quantum ESPRESSO input:
```
&SYSTEM
  ibrav = 0, nat = 11, ntyp = 3
/
ATOMIC_SPECIES
Nd 144.24 Nd.upf
Sm 150.36 Sm.upf
Er 167.26 Er.upf
ATOMIC_POSITIONS crystal
Nd 0.063 0.831 0.186
Nd 0.500 0.000 0.000
Nd 0.937 0.169 0.814
Sm 0.772 0.211 0.289
Sm 0.713 0.855 0.565
Sm 0.269 0.422 0.014
Sm 0.731 0.578 0.986
Sm 0.000 0.500 0.500
Sm 0.287 0.145 0.435
Sm 0.228 0.789 0.711
Er 0.500 0.500 0.500
CELL_PARAMETERS angstrom
6.790 0.495 -0.146
0.920 8.660 1.076
-0.574 0.248 6.562
```

Results
As for the energy above the most stable polymorph in this dataset: 0.0 kJ/mol of atoms. The value obtained for the calculated density is 7.2 Mg/m³. Its space group is P-1, No. 2.

Q: What is the calculated density in the first record?
A: 11.3 Mg/m³